MnTlIr2: relaxed, PBE.

It has space group I4/mmm (No. 139), with a = 4.162 Å, b = 4.162 Å, c = 7.425 Å, α = 90.00°, β = 90.00° and γ = 90.00°. The asymmetric unit holds Mn at (0.000, 0.000, 0.000), Tl at (0.000, 0.000, 0.500) and Ir at (0.000, 0.500, 0.250).

The value obtained for the size of the total moment is 3.48 μB per formula unit. The formation energy from the elements is 0.27 eV per atom.